--- A ---
The following is a PBEsol calculation of a relaxed structure of BaTlAg, from Alexandria via LeMat-Bulk.

Geometry as extended XYZ:
```
3
Lattice="4.9861 0.0000 0.0000 -2.4931 4.3181 0.0000 0.0000 0.0000 4.2890" Properties=species:S:1:pos:R:3 pbc="T T T"
Ba 0.0000 0.0000 0.0000
Tl 0.0000 2.8787 2.1445
Ag 2.4931 1.4394 2.1445
```



--- B ---
The following is a PBEsol calculation of a relaxed structure of BaTlAg, from Alexandria via LeMat-Bulk.

Geometry as extended XYZ:
```
3
Lattice="-1.9601 1.9601 5.7288 1.9601 -1.9601 5.7288 1.9601 1.9601 -5.7288" Properties=species:S:1:pos:R:3 pbc="T T T"
Ba 0.0000 0.0000 0.0000
Tl 0.0000 0.0000 3.4418
Ag 0.0000 0.0000 7.9369
```



Stability, descending: A, B



--- A ---
The following is a PBEsol calculation of a relaxed structure of Ba2YAg, from Alexandria via LeMat-Bulk.

Geometry as extended XYZ:
```
4
Lattice="4.1948 -4.2321 0.0000 4.1948 4.2321 0.0000 0.0000 0.0000 4.0416" Properties=species:S:1:pos:R:3 pbc="T T T"
Ba 2.0974 2.1160 0.0000
Ba 2.0974 -2.1160 0.0000
Y 0.0000 0.0000 2.0208
Ag 4.1948 0.0000 2.0208
```



--- B ---
The following is a PBEsol calculation of a relaxed structure of Ba2YAg, from Alexandria via LeMat-Bulk.

Geometry as extended XYZ:
```
4
Lattice="4.0342 0.0000 0.0000 0.0000 2.8259 6.8762 0.0000 -2.8259 6.8762" Properties=species:S:1:pos:R:3 pbc="T T T"
Ba 0.0000 0.0000 0.0000
Ba 2.0171 0.0000 4.1837
Y 0.0000 0.0000 9.5146
Ag 2.0171 0.0000 7.4639
```



Stability, descending: B, A



--- A ---
The following is a PBEsol calculation of a relaxed structure of BaZrAg, from Alexandria via LeMat-Bulk.

Geometry as extended XYZ:
```
3
Lattice="0.0000 3.4941 3.4941 3.4941 0.0000 3.4941 3.4941 3.4941 0.0000" Properties=species:S:1:pos:R:3 pbc="T T T"
Ba 0.0000 0.0000 0.0000
Zr 1.7471 1.7471 1.7471
Ag 5.2412 5.2412 5.2412
```



--- B ---
The following is a PBEsol calculation of a relaxed structure of BaZrAg, from Alexandria via LeMat-Bulk.

Geometry as extended XYZ:
```
3
Lattice="3.4405 0.0000 0.0000 -1.7202 2.9795 0.0000 0.0000 0.0000 7.8827" Properties=species:S:1:pos:R:3 pbc="T T T"
Ba 0.0000 0.0000 0.0000
Zr 0.0000 1.9863 4.8526
Ag 1.7202 0.9932 2.7616
```



Stability, descending: B, A



--- A ---
The following is a PBEsol calculation of a relaxed structure of BaZr2Ag, from Alexandria via LeMat-Bulk.

Geometry as extended XYZ:
```
4
Lattice="-2.1970 2.1970 5.1114 2.1970 -2.1970 5.1114 2.1970 2.1970 -5.1114" Properties=species:S:1:pos:R:3 pbc="T T T"
Ba 0.0000 0.0000 0.0000
Zr 2.1970 0.0000 2.5557
Zr 0.0000 2.1970 2.5557
Ag 0.0000 0.0000 5.1114
```



--- B ---
The following is a PBEsol calculation of a relaxed structure of BaZr2Ag, from Alexandria via LeMat-Bulk.

Geometry as extended XYZ:
```
4
Lattice="3.1091 -5.8264 0.0000 3.1091 5.8264 0.0000 -1.5583 0.0000 2.7496" Properties=species:S:1:pos:R:3 pbc="T T T"
Ba 0.0000 0.0000 0.0000
Zr 0.7754 2.9132 1.3748
Zr 0.7754 -2.9132 1.3748
Ag 3.1091 0.0000 0.0000
```



Stability, descending: B, A



--- A ---
The following is a PBEsol calculation of a relaxed structure of Be2Ag, from Alexandria via LeMat-Bulk.

Geometry as extended XYZ:
```
6
Lattice="0.0000 3.1664 3.1664 3.1664 0.0000 3.1664 3.1664 3.1664 0.0000" Properties=species:S:1:pos:R:3 pbc="T T T"
Be 0.0000 0.0000 0.0000
Be 1.5832 1.5832 0.0000
Be 1.5832 0.0000 1.5832
Be 0.0000 1.5832 1.5832
Ag 2.3748 2.3748 2.3748
Ag 3.9580 3.9580 3.9580
```



--- B ---
The following is a PBEsol calculation of a relaxed structure of Be2Ag, from Alexandria via LeMat-Bulk.

Geometry as extended XYZ:
```
3
Lattice="2.6463 0.0000 0.0000 -1.3231 2.2918 0.0000 0.0000 0.0000 5.8158" Properties=species:S:1:pos:R:3 pbc="T T T"
Be 0.0000 1.5278 2.0613
Be 1.3231 0.7639 3.7545
Ag 0.0000 0.0000 0.0000
```



--- C ---
The following is a PBEsol calculation of a relaxed structure of Be2Ag, from Alexandria via LeMat-Bulk.

Geometry as extended XYZ:
```
12
Lattice="4.5021 0.0000 0.0000 -2.2510 3.8989 0.0000 0.0000 0.0000 7.2561" Properties=species:S:1:pos:R:3 pbc="T T T"
Be 0.0000 0.0000 0.0000
Be 0.0000 0.0000 3.6281
Be 0.0000 1.2792 1.8140
Be -1.1432 3.2593 1.8140
Be 1.1079 0.6396 5.4421
Be 1.1432 3.2593 1.8140
Be 3.3942 0.6396 5.4421
Be 2.2510 2.6197 5.4421
Ag 0.0000 2.5993 4.0574
Ag 0.0000 2.5993 6.8268
Ag 2.2510 1.2996 0.4294
Ag 2.2510 1.2996 3.1987
```



--- D ---
The following is a PBEsol calculation of a relaxed structure of Be2Ag, from Alexandria via LeMat-Bulk.

Geometry as extended XYZ:
```
6
Lattice="-2.0872 2.0872 4.0340 2.0872 -2.0872 4.0340 2.0872 2.0872 -4.0340" Properties=species:S:1:pos:R:3 pbc="T T T"
Be 2.8273 0.7401 0.0000
Be 0.7401 1.3471 0.0000
Be 1.3471 0.7401 4.0340
Be -0.7401 1.3471 4.0340
Ag 0.0000 0.0000 2.0170
Ag 0.0000 0.0000 6.0510
```



Stability, descending: A, C, D, B



--- A ---
The following is a PBEsol calculation of a relaxed structure of BeAgBr, from Alexandria via LeMat-Bulk.

Geometry as extended XYZ:
```
3
Lattice="0.0000 3.1400 3.1400 3.1400 0.0000 3.1400 3.1400 3.1400 0.0000" Properties=species:S:1:pos:R:3 pbc="T T T"
Be 0.0000 0.0000 0.0000
Ag 1.5700 1.5700 1.5700
Br 3.1400 3.1400 3.1400
```



--- B ---
The following is a PBEsol calculation of a relaxed structure of BeAgBr, from Alexandria via LeMat-Bulk.

Geometry as extended XYZ:
```
3
Lattice="-1.5272 1.5272 5.8618 1.5272 -1.5272 5.8618 1.5272 1.5272 -5.8618" Properties=species:S:1:pos:R:3 pbc="T T T"
Be 0.0000 0.0000 0.0000
Ag 0.0000 0.0000 4.4186
Br 0.0000 0.0000 7.2732
```



Stability, descending: B, A



--- A ---
The following is a PBEsol calculation of a relaxed structure of CaBeAg, from Alexandria via LeMat-Bulk.

Geometry as extended XYZ:
```
3
Lattice="0.0000 3.1519 3.1519 3.1519 0.0000 3.1519 3.1519 3.1519 0.0000" Properties=species:S:1:pos:R:3 pbc="T T T"
Ca 0.0000 0.0000 0.0000
Be 1.5759 1.5759 1.5759
Ag 3.1519 3.1519 3.1519
```



--- B ---
The following is a PBEsol calculation of a relaxed structure of CaBeAg, from Alexandria via LeMat-Bulk.

Geometry as extended XYZ:
```
3
Lattice="-1.6342 1.6342 5.1913 1.6342 -1.6342 5.1913 1.6342 1.6342 -5.1913" Properties=species:S:1:pos:R:3 pbc="T T T"
Ca 0.0000 0.0000 0.0000
Be 0.0000 0.0000 3.0733
Ag 0.0000 0.0000 7.3892
```



Stability, descending: B, A



--- A ---
The following is a PBEsol calculation of a relaxed structure of BeCdAg2, from Alexandria via LeMat-Bulk.

Geometry as extended XYZ:
```
4
Lattice="2.8543 0.0000 0.0000 0.0000 3.8967 0.0000 -1.1765 0.0000 5.5706" Properties=species:S:1:pos:R:3 pbc="T T T"
Be 0.0000 0.0000 0.0000
Cd -0.5883 0.0000 2.7853
Ag 0.8411 1.9483 1.2244
Ag 0.8367 1.9483 4.3462
```



--- B ---
The following is a PBEsol calculation of a relaxed structure of BeCdAg2, from Alexandria via LeMat-Bulk.

Geometry as extended XYZ:
```
4
Lattice="4.9622 -1.5077 0.0000 4.9622 1.5077 0.0000 -2.0227 0.0000 4.0852" Properties=species:S:1:pos:R:3 pbc="T T T"
Be 0.0000 0.0000 0.0000
Cd 3.9509 0.0000 2.0426
Ag 1.2556 0.0000 3.2120
Ag 6.6462 0.0000 0.8732
```



--- C ---
The following is a PBEsol calculation of a relaxed structure of BeCdAg2, from Alexandria via LeMat-Bulk.

Geometry as extended XYZ:
```
4
Lattice="0.0000 3.1457 3.1457 3.1457 0.0000 3.1457 3.1457 3.1457 0.0000" Properties=species:S:1:pos:R:3 pbc="T T T"
Be 0.0000 0.0000 0.0000
Cd 3.1457 3.1457 3.1457
Ag 1.5729 1.5729 1.5729
Ag 4.7186 4.7186 4.7186
```



--- D ---
The following is a PBEsol calculation of a relaxed structure of BeCdAg2, from Alexandria via LeMat-Bulk.

Geometry as extended XYZ:
```
4
Lattice="4.4232 0.0000 0.0000 0.0000 4.4232 0.0000 0.0000 0.0000 3.1915" Properties=species:S:1:pos:R:3 pbc="T T T"
Be 0.0000 0.0000 0.0000
Cd 2.2116 2.2116 0.0000
Ag 0.0000 2.2116 1.5958
Ag 2.2116 0.0000 1.5958
```



Stability, descending: B, A, C, D